(1)
Below is a geometry-optimized RbNa2Tl9 structure, with properties calculated at the PBE-GGA level. Values from VASP.

Structure (Quantum ESPRESSO input):
```
&SYSTEM
  ibrav = 0, nat = 12, ntyp = 3
/
ATOMIC_SPECIES
Rb 85.47 Rb.upf
Na 22.99 Na.upf
Tl 204.38 Tl.upf
CELL_PARAMETERS angstrom
11.0693 0.0000 0.0000
-5.5347 9.5863 0.0000
0.0000 0.0000 3.5611
ATOMIC_POSITIONS crystal
Rb 0.0000 0.0000 0.0000
Na 0.3333 0.6667 0.0000
Na 0.6667 0.3333 0.0000
Tl 0.0000 0.5000 0.0000
Tl 0.1790 0.3580 0.5000
Tl 0.1790 0.8210 0.5000
Tl 0.3580 0.1790 0.5000
Tl 0.5000 0.0000 0.0000
Tl 0.5000 0.5000 0.0000
Tl 0.6420 0.8210 0.5000
Tl 0.8210 0.1790 0.5000
Tl 0.8210 0.6420 0.5000
```

Calculated values
ΔH_f (0 K) = -0.05 eV per atom



(2)
Below is a geometry-optimized RbNa8Tl2 structure, with properties calculated at the PBE-GGA level. Values from VASP.

Structure (Quantum ESPRESSO input):
```
&SYSTEM
  ibrav = 0, nat = 11, ntyp = 3
/
ATOMIC_SPECIES
Rb 85.47 Rb.upf
Na 22.99 Na.upf
Tl 204.38 Tl.upf
CELL_PARAMETERS angstrom
-3.7328 3.7328 10.3973
3.7328 -3.7328 10.3973
3.7328 3.7328 -10.3973
ATOMIC_POSITIONS crystal
Rb 0.0000 0.0000 0.0000
Na 0.0857 0.0857 0.4992
Na 0.0857 0.5864 0.0000
Na 0.4136 0.4136 0.4992
Na 0.4136 0.9143 0.0000
Na 0.5864 0.0857 0.0000
Na 0.5864 0.5864 0.5008
Na 0.9143 0.4136 0.0000
Na 0.9143 0.9143 0.5008
Tl 0.2500 0.7500 0.5000
Tl 0.7500 0.2500 0.5000
```

Calculated values
ΔH_f (0 K) = 0.08 eV per atom



(3)
Below is a geometry-optimized Rb5NaTl6 structure, with properties calculated at the PBE-GGA level. Values from VASP.

Structure (Quantum ESPRESSO input):
```
&SYSTEM
  ibrav = 0, nat = 12, ntyp = 3
/
ATOMIC_SPECIES
Rb 85.47 Rb.upf
Na 22.99 Na.upf
Tl 204.38 Tl.upf
CELL_PARAMETERS angstrom
3.5092 -6.1140 0.0000
3.5092 6.1140 0.0000
-2.4054 0.0000 11.9397
ATOMIC_POSITIONS crystal
Rb 0.0000 0.0000 0.0000
Rb 0.1658 0.8342 0.5000
Rb 0.3239 0.6761 0.0000
Rb 0.6761 0.3239 0.0000
Rb 0.8342 0.1658 0.5000
Na 0.5000 0.5000 0.5000
Tl 0.1450 0.4232 0.2606
Tl 0.3010 0.3010 0.7441
Tl 0.4232 0.1450 0.2606
Tl 0.5768 0.8550 0.7394
Tl 0.6990 0.6990 0.2559
Tl 0.8550 0.5768 0.7394
```

Calculated values
ΔH_f (0 K) = 0.07 eV per atom



Repeat the third record exactly.
Below is a geometry-optimized Rb5NaTl6 structure, with properties calculated at the PBE-GGA level. Values from VASP.

Structure (Quantum ESPRESSO input):
```
&SYSTEM
  ibrav = 0, nat = 12, ntyp = 3
/
ATOMIC_SPECIES
Rb 85.47 Rb.upf
Na 22.99 Na.upf
Tl 204.38 Tl.upf
CELL_PARAMETERS angstrom
3.5092 -6.1140 0.0000
3.5092 6.1140 0.0000
-2.4054 0.0000 11.9397
ATOMIC_POSITIONS crystal
Rb 0.0000 0.0000 0.0000
Rb 0.1658 0.8342 0.5000
Rb 0.3239 0.6761 0.0000
Rb 0.6761 0.3239 0.0000
Rb 0.8342 0.1658 0.5000
Na 0.5000 0.5000 0.5000
Tl 0.1450 0.4232 0.2606
Tl 0.3010 0.3010 0.7441
Tl 0.4232 0.1450 0.2606
Tl 0.5768 0.8550 0.7394
Tl 0.6990 0.6990 0.2559
Tl 0.8550 0.5768 0.7394
```

Calculated values
ΔH_f (0 K) = 0.07 eV per atom



- Look up the ΔH_f (0 K) of the first one.
  -0.05 eV per atom